No. 1
Li3AgH | Alexandria via LeMat-Bulk | SCAN | single point on PBEsol structure; magnetization = 0.01 μB per formula unit; VASP energy = -8.628 eV/atom; calculated density = 3.430 g/cm3; space group = Pm-3m (221)
1.0
3.975 0.000 0.000
0.000 3.975 0.000
0.000 0.000 3.975
H Ag Li
1 1 3
Cartesian
0.000 0.000 0.000
1.987 1.987 1.987
0.000 1.987 0.000
0.000 0.000 1.987
1.987 0.000 0.000

=====

No. 2
LiNb2AgH | Alexandria via LeMat-Bulk | SCAN | single point on PBEsol structure; magnetization = 1.39 μB per formula unit; VASP energy = -19.396 eV/atom; calculated density = 5.887 g/cm3; space group = P4/mmm (123)
1.0
-2.866 0.002 0.851
-1.227 -3.151 -4.126
0.894 -4.304 3.022
Nb Li H Ag
2 1 1 1
Cartesian
-0.614 -1.576 -2.063
0.447 -2.152 1.511
-1.600 -3.727 -0.127
-1.433 0.001 0.425
0.000 0.000 0.000

=====

No. 3
Mg2AgH2 | Alexandria via LeMat-Bulk | SCAN | single point on PBEsol structure; magnetization = 0.00 μB per formula unit; VASP energy = -9.262 eV/atom; calculated density = 3.818 g/cm3; space group = P4/mbm (127)
1.0
2.783 0.000 0.000
0.000 7.039 0.000
0.000 0.000 7.039
Mg Ag H
4 2 4
Cartesian
0.000 6.047 4.511
0.000 2.528 6.047
0.000 0.992 2.528
0.000 4.511 0.992
0.000 0.000 0.000
0.000 3.519 3.519
1.391 4.275 6.283
1.391 0.756 4.275
1.391 6.283 2.763
1.391 2.763 0.756

=====

No. 4
Mg2AgH | Alexandria via LeMat-Bulk | SCAN | single point on PBEsol structure; magnetization = 0.00 μB per formula unit; VASP energy = -10.941 eV/atom; calculated density = 4.012 g/cm3; space group = Fm-3m (225)
1.0
4.517 0.000 0.000
2.259 3.912 0.000
2.259 1.304 3.688
H Ag Mg
1 1 2
Cartesian
0.000 0.000 0.000
4.517 2.608 1.844
6.776 3.912 2.766
2.259 1.304 0.922

=====

No. 5
MgAgHPt2 | Alexandria via LeMat-Bulk | SCAN | single point on PBEsol structure; magnetization = 0.00 μB per formula unit; VASP energy = -36.402 eV/atom; calculated density = 13.347 g/cm3; space group = P4/mmm (123)
1.0
3.994 0.000 0.000
0.000 3.994 0.000
0.000 0.000 4.082
Mg Pt H Ag
1 2 1 1
Cartesian
1.997 1.997 2.041
0.000 1.997 0.000
1.997 0.000 0.000
0.000 0.000 0.000
0.000 0.000 2.041

=====

No. 6
SrAg2MoH | Alexandria via LeMat-Bulk | SCAN | single point on PBEsol structure; magnetization = 4.29 μB per formula unit; VASP energy = -23.459 eV/atom; calculated density = 5.805 g/cm3; space group = P4/mmm (123)
1.0
3.861 0.000 0.000
0.000 5.446 0.000
0.000 0.000 5.446
Ag Sr Mo H
2 1 1 1
Cartesian
0.000 0.000 2.723
0.000 2.723 0.000
0.000 0.000 0.000
1.931 2.723 2.723
1.931 0.000 0.000

=====

No. 7
Ag2HN | Alexandria via LeMat-Bulk | SCAN | single point on PBEsol structure; magnetization = 1.32 μB per formula unit; VASP energy = -17.892 eV/atom; calculated density = 7.829 g/cm3; space group = I-42d (122)
1.0
-4.683 -0.454 0.146
0.428 -4.636 -0.695
2.326 1.909 4.641
Ag N H
4 2 2
Cartesian
-3.158 -1.640 1.021
1.230 0.599 3.383
-0.934 -1.554 3.167
-0.998 -3.769 0.613
0.000 0.000 0.000
0.313 -2.636 1.836
-2.128 -2.545 -0.275
-2.243 -0.545 2.256

=====

No. 8
AgH2SNO3 | Alexandria via LeMat-Bulk | SCAN | single point on PBEsol structure; magnetization = 0.00 μB per formula unit; VASP energy = -10.327 eV/atom; calculated density = 3.739 g/cm3; space group = Pbca (61)
1.0
7.397 0.000 0.000
0.000 8.260 0.000
0.000 0.000 11.860
H O Ag N S
16 24 8 8 8
Cartesian
1.723 7.159 7.082
7.385 5.246 1.180
5.674 5.231 1.152
7.385 1.115 4.750
5.674 1.101 4.778
5.421 1.101 10.708
3.710 5.246 7.110
1.723 3.029 10.708
1.976 7.159 1.152
0.011 3.015 10.680
1.976 3.029 4.778
5.421 5.231 7.082
3.687 3.015 4.750
3.710 1.115 10.680
3.687 7.145 1.180
0.011 7.145 7.110
2.726 5.644 3.305
4.670 2.616 8.555
6.425 2.616 2.625
7.048 4.526 7.518
5.808 7.884 7.400
2.726 1.514 2.625
2.109 4.506 7.400
6.425 6.746 3.305
1.589 4.506 1.470
0.349 7.865 1.588
4.670 6.746 9.235
3.350 3.735 10.272
0.972 1.514 8.555
0.972 5.644 9.235
7.048 0.396 10.272
5.288 3.754 4.460
2.109 0.376 10.390
4.047 0.396 4.342
5.288 7.884 1.470
0.349 3.735 4.342
4.047 4.526 1.588
1.589 0.376 4.460
5.808 3.754 10.390
3.350 7.865 7.518
6.535 2.126 7.176
2.837 6.134 10.614
2.837 2.004 7.176
0.862 2.004 1.246
4.560 2.126 1.246
6.535 6.256 10.614
0.862 6.134 4.684
4.560 6.256 4.684
0.869 2.468 10.924
2.829 6.598 0.936
2.829 2.468 4.994
4.568 1.662 10.924
4.568 5.792 6.866
0.869 6.598 6.866
6.528 5.792 0.936
6.528 1.662 4.994
2.794 1.085 4.042
2.794 5.215 1.888
6.493 7.176 1.888
0.904 1.085 9.972
4.603 7.176 7.818
4.603 3.045 9.972
0.904 5.215 7.818
6.493 3.045 4.042

=====

No. 9
NaNiAg2H | Alexandria via LeMat-Bulk | SCAN | single point on PBEsol structure; magnetization = 0.00 μB per formula unit; VASP energy = -17.002 eV/atom; calculated density = 6.461 g/cm3; space group = P4/mmm (123)
1.0
2.975 0.000 0.000
0.000 5.077 0.000
0.000 0.000 5.077
Ni Na Ag H
1 1 2 1
Cartesian
0.000 0.000 0.000
1.488 2.539 2.539
0.000 0.000 2.539
0.000 2.539 0.000
1.488 0.000 0.000

=====

No. 10
Nb2AgH | Alexandria via LeMat-Bulk | SCAN | single point on PBEsol structure; magnetization = 0.00 μB per formula unit; VASP energy = -24.511 eV/atom; calculated density = 8.192 g/cm3; space group = Fm-3m (225)
1.0
-1.457 -4.139 0.035
0.094 -2.327 3.718
-3.743 -0.991 2.064
H Nb Ag
1 2 1
Cartesian
0.000 0.000 0.000
-3.829 -5.593 4.363
-1.276 -1.864 1.454
-2.553 -3.728 2.909

=====

No. 11
NbAgH3 | Alexandria via LeMat-Bulk | SCAN | single point on PBEsol structure; magnetization = 0.00 μB per formula unit; VASP energy = -14.338 eV/atom; calculated density = 7.731 g/cm3; space group = Pm-3m (221)
1.0
-2.676 -0.442 2.250
-1.997 -1.251 -2.621
1.127 -3.265 0.700
H Ag Nb
3 1 1
Cartesian
0.563 -1.633 0.350
-0.998 -0.625 -1.310
-1.338 -0.221 1.125
0.000 0.000 0.000
-1.773 -2.479 0.164

=====

No. 12
Nb3AgH | Alexandria via LeMat-Bulk | SCAN | single point on PBEsol structure; magnetization = 0.00 μB per formula unit; VASP energy = -26.779 eV/atom; calculated density = 9.001 g/cm3; space group = Pm-3m (221)
1.0
4.151 0.000 0.000
0.000 4.151 0.000
0.000 0.000 4.151
Nb Ag H
3 1 1
Cartesian
2.075 0.000 0.000
0.000 2.075 0.000
0.000 0.000 2.075
2.075 2.075 2.075
0.000 0.000 0.000